GaSb2PBr (PBE, relaxed); magnetization = 0.000 μB/f.u.; calculated density = 5.00 g/cm3; symmetry = P4/mmm (123); final energy = -14.8 eV for the cell shown; energy relative to the elements, uncorrected = 717 meV/atom; crystal system = tetragonal
1.0
5.369 0.000 0.000
0.000 5.369 0.000
0.000 0.000 4.887
Ga Sb P Br
1 2 1 1
Direct
0.000 0.000 0.000 Ga
0.000 0.500 0.000 Sb
0.500 0.000 0.000 Sb
0.500 0.500 0.500 P
0.000 0.000 0.500 Br